Ce2SmCd8 PBE relaxed; calculated formation energy = -0.193 eV per atom; VASP energy = -2.3660 eV per atom
1.0
5.183 0.035 -1.420
-0.788 5.898 -2.750
-0.327 0.505 8.993
Ce Sm Cd
2 1 8
Direct
0.691 0.691 0.382
0.309 0.309 0.618
0.500 0.000 0.000
0.126 0.352 0.251
0.875 0.101 0.749
0.748 0.499 0.000
0.701 0.201 0.401
0.299 0.799 0.599
0.252 0.501 0.000
0.125 0.899 0.251
0.874 0.648 0.749